1.
Entry from Alexandria: an optimized crystal structure of Zn2CrNi (GGA-PBE).

## Properties
**Calculated total energy**: -4.40 eV/atom
**N(E_F)**: 0.501 states/eV/atom
**DFT formation energy**: 0.36 eV/f.u.

Lattice parameters (Å, degrees): 5.370 7.130 2.818 90.00 90.00 90.00
Fractional coordinates of all 8 atoms:
Zn 0.250 0.250 0.000
Zn 0.250 0.750 0.000
Zn 0.750 0.250 0.000
Zn 0.750 0.750 0.000
Cr 0.000 0.000 0.500
Cr 0.500 0.500 0.500
Ni 0.000 0.500 0.500
Ni 0.500 0.000 0.500



2.
Entry from Alexandria: an optimized crystal structure of ZnCr3Ni (GGA-PBE).

## Properties
**Calculated total energy**: -5.84 eV/atom
**Offset from the most stable computed form**: 0.00 eV per formula unit
**N(E_F)**: 2.526 states/eV/atom
**DFT formation energy**: 6.74 eV/f.u.

Lattice parameters (Å, degrees): 4.240 4.240 4.240 90.00 90.00 90.00
Fractional coordinates of all 5 atoms:
Zn 0.000 0.000 0.000
Cr 0.000 0.500 0.500
Cr 0.500 0.000 0.500
Cr 0.500 0.500 0.000
Ni 0.500 0.500 0.500



3.
Entry from Alexandria: an optimized crystal structure of Zn2CrNi (GGA-PBE).

## Properties
**Calculated total energy**: -3.94 eV/atom
**N(E_F)**: 1.176 states/eV/atom
**DFT formation energy**: 2.20 eV/f.u.

Lattice parameters (Å, degrees): 6.674 6.674 4.951 90.00 90.00 90.00
Fractional coordinates of all 16 atoms:
Zn 0.235 0.750 0.125
Zn 0.250 0.235 0.875
Zn 0.250 0.265 0.375
Zn 0.265 0.750 0.625
Zn 0.735 0.250 0.625
Zn 0.750 0.735 0.375
Zn 0.750 0.765 0.875
Zn 0.765 0.250 0.125
Cr 0.000 0.000 0.500
Cr 0.000 0.500 0.750
Cr 0.500 0.000 0.250
Cr 0.500 0.500 0.000
Ni 0.000 0.000 0.000
Ni 0.000 0.500 0.250
Ni 0.500 0.000 0.750
Ni 0.500 0.500 0.500



4.
Entry from Alexandria: an optimized crystal structure of Zn2Cr2Ni (GGA-PBE).

## Properties
**Calculated total energy**: -5.05 eV/atom
**Offset from the most stable computed form**: 0.00 eV per formula unit
**N(E_F)**: 0.978 states/eV/atom
**DFT formation energy**: 2.33 eV/f.u.

Lattice parameters (Å, degrees): 6.935 6.935 2.837 90.00 90.00 90.00
Fractional coordinates of all 10 atoms:
Zn 0.198 0.302 0.000
Zn 0.302 0.802 0.000
Zn 0.698 0.198 0.000
Zn 0.802 0.698 0.000
Cr 0.097 0.597 0.500
Cr 0.403 0.097 0.500
Cr 0.597 0.903 0.500
Cr 0.903 0.403 0.500
Ni 0.000 0.000 0.500
Ni 0.500 0.500 0.500



5.
Entry from Alexandria: an optimized crystal structure of ZnCr2Ni2 (GGA-PBE).

## Properties
**Calculated total energy**: -6.20 eV/atom
**N(E_F)**: 1.030 states/eV/atom
**DFT formation energy**: 1.09 eV/f.u.

Lattice parameters (Å, degrees): 6.974 6.974 2.519 90.00 90.00 90.00
Fractional coordinates of all 10 atoms:
Zn 0.000 0.000 0.000
Zn 0.500 0.500 0.000
Cr 0.174 0.326 0.500
Cr 0.326 0.826 0.500
Cr 0.674 0.174 0.500
Cr 0.826 0.674 0.500
Ni 0.122 0.622 0.000
Ni 0.378 0.122 0.000
Ni 0.622 0.878 0.000
Ni 0.878 0.378 0.000



6.
Entry from Alexandria: an optimized crystal structure of ZnCrNi (GGA-PBE).

## Properties
**Calculated total energy**: -5.41 eV/atom
**N(E_F)**: 0.996 states/eV/atom
**DFT formation energy**: 0.46 eV/f.u.

Lattice parameters (Å, degrees): 13.142 2.455 4.585 90.00 98.05 90.00
Fractional coordinates of all 12 atoms:
Zn 0.162 0.000 0.065
Zn 0.338 0.500 0.935
Zn 0.662 0.500 0.065
Zn 0.838 0.000 0.935
Cr 0.001 0.500 0.254
Cr 0.499 0.000 0.746
Cr 0.501 0.000 0.254
Cr 0.999 0.500 0.746
Ni 0.169 0.500 0.567
Ni 0.331 0.000 0.433
Ni 0.669 0.000 0.567
Ni 0.831 0.500 0.433



7.
Entry from Alexandria: an optimized crystal structure of ZnCrNi6 (GGA-PBE).

## Properties
**Calculated total energy**: -5.78 eV/atom
**Offset from the most stable computed form**: 0.12 eV per formula unit
**N(E_F)**: 1.240 states/eV/atom
**DFT formation energy**: -0.64 eV/f.u.

Lattice parameters (Å, degrees): 6.151 6.151 10.050 90.00 90.00 109.38
Fractional coordinates of all 32 atoms:
Zn 0.000 0.000 0.250
Zn 0.000 0.000 0.750
Zn 0.249 0.751 0.000
Zn 0.751 0.249 0.000
Cr 0.251 0.749 0.500
Cr 0.500 0.500 0.246
Cr 0.500 0.500 0.754
Cr 0.749 0.251 0.500
Ni 0.000 0.000 0.000
Ni 0.000 0.000 0.500
Ni 0.128 0.380 0.377
Ni 0.128 0.380 0.623
Ni 0.131 0.378 0.128
Ni 0.131 0.378 0.872
Ni 0.253 0.747 0.255
Ni 0.253 0.747 0.745
Ni 0.378 0.131 0.128
Ni 0.378 0.131 0.872
Ni 0.380 0.128 0.377
Ni 0.380 0.128 0.623
Ni 0.500 0.500 0.000
Ni 0.500 0.500 0.500
Ni 0.620 0.872 0.377
Ni 0.620 0.872 0.623
Ni 0.622 0.869 0.128
Ni 0.622 0.869 0.872
Ni 0.747 0.253 0.255
Ni 0.747 0.253 0.745
Ni 0.869 0.622 0.128
Ni 0.869 0.622 0.872
Ni 0.872 0.620 0.377
Ni 0.872 0.620 0.623



8.
Entry from Alexandria: an optimized crystal structure of Zn2CrNi (GGA-PBE).

## Properties
**Calculated total energy**: -4.39 eV/atom
**N(E_F)**: 0.793 states/eV/atom
**DFT formation energy**: 0.38 eV/f.u.

Lattice parameters (Å, degrees): 9.272 2.872 4.368 90.00 113.95 90.00
Fractional coordinates of all 8 atoms:
Zn 0.000 0.000 0.000
Zn 0.243 0.000 0.817
Zn 0.500 0.500 0.000
Zn 0.743 0.500 0.817
Cr 0.264 0.500 0.332
Cr 0.764 0.000 0.332
Ni 0.004 0.500 0.493
Ni 0.504 0.000 0.493



9.
Entry from Alexandria: an optimized crystal structure of Zn3CrNi12 (GGA-PBE).

## Properties
**Calculated total energy**: -5.27 eV/atom
**N(E_F)**: 1.213 states/eV/atom
**DFT formation energy**: -1.57 eV/f.u.

Lattice parameters (Å, degrees): 3.557 3.557 14.304 90.00 90.00 90.00
Fractional coordinates of all 16 atoms:
Zn 0.000 0.000 0.000
Zn 0.000 0.000 0.251
Zn 0.000 0.000 0.749
Cr 0.000 0.000 0.500
Ni 0.000 0.500 0.126
Ni 0.000 0.500 0.380
Ni 0.000 0.500 0.620
Ni 0.000 0.500 0.874
Ni 0.500 0.000 0.126
Ni 0.500 0.000 0.380
Ni 0.500 0.000 0.620
Ni 0.500 0.000 0.874
Ni 0.500 0.500 0.000
Ni 0.500 0.500 0.252
Ni 0.500 0.500 0.500
Ni 0.500 0.500 0.748



10.
Entry from Alexandria: an optimized crystal structure of ZnCr2Ni2 (GGA-PBE).

## Properties
**Calculated total energy**: -6.18 eV/atom
**N(E_F)**: 1.188 states/eV/atom
**DFT formation energy**: 1.21 eV/f.u.

Lattice parameters (Å, degrees): 7.050 7.050 2.505 90.00 90.00 90.00
Fractional coordinates of all 10 atoms:
Zn 0.000 0.000 0.000
Zn 0.500 0.500 0.000
Cr 0.108 0.392 0.000
Cr 0.392 0.892 0.000
Cr 0.608 0.108 0.000
Cr 0.892 0.608 0.000
Ni 0.183 0.683 0.500
Ni 0.317 0.183 0.500
Ni 0.683 0.817 0.500
Ni 0.817 0.317 0.500



11.
Entry from Alexandria: an optimized crystal structure of ZnCrNi (GGA-PBE).

## Properties
**Calculated total energy**: -5.45 eV/atom
**N(E_F)**: 1.142 states/eV/atom
**DFT formation energy**: 0.32 eV/f.u.

Lattice parameters (Å, degrees): 2.560 2.560 6.393 90.00 90.00 120.00
Fractional coordinates of all 3 atoms:
Zn 0.000 0.000 0.000
Cr 0.667 0.333 0.355
Ni 0.333 0.667 0.664



12.
Entry from Alexandria: an optimized crystal structure of Zn2CrNi (GGA-PBE).

## Properties
**Calculated total energy**: -4.48 eV/atom
**N(E_F)**: 0.636 states/eV/atom
**DFT formation energy**: 0.05 eV/f.u.

Lattice parameters (Å, degrees): 2.607 2.607 7.437 90.00 90.00 90.00
Fractional coordinates of all 4 atoms:
Zn 0.000 0.000 0.000
Zn 0.500 0.500 0.283
Cr 0.000 0.000 0.540
Ni 0.500 0.500 0.759



13.
Entry from Alexandria: an optimized crystal structure of Zn3CrNi6 (GGA-PBE).

## Properties
**Calculated total energy**: -4.90 eV/atom
**N(E_F)**: 0.993 states/eV/atom
**DFT formation energy**: -0.91 eV/f.u.

Lattice parameters (Å, degrees): 6.809 4.160 9.000 90.00 112.14 90.00
Fractional coordinates of all 20 atoms:
Zn 0.052 0.250 0.374
Zn 0.137 0.750 0.221
Zn 0.272 0.250 0.977
Zn 0.728 0.750 0.023
Zn 0.863 0.250 0.779
Zn 0.948 0.750 0.626
Cr 0.460 0.250 0.580
Cr 0.540 0.750 0.420
Ni 0.040 0.750 0.926
Ni 0.169 0.250 0.675
Ni 0.245 0.750 0.525
Ni 0.340 0.750 0.822
Ni 0.367 0.250 0.281
Ni 0.439 0.750 0.129
Ni 0.561 0.250 0.871
Ni 0.633 0.750 0.719
Ni 0.660 0.250 0.178
Ni 0.755 0.250 0.475
Ni 0.831 0.750 0.325
Ni 0.960 0.250 0.074



14.
Entry from Alexandria: an optimized crystal structure of ZnCrNi6 (GGA-PBE).

## Properties
**Calculated total energy**: -5.79 eV/atom
**Offset from the most stable computed form**: 0.00 eV per formula unit
**N(E_F)**: 1.088 states/eV/atom
**DFT formation energy**: -0.76 eV/f.u.

Lattice parameters (Å, degrees): 3.555 3.555 7.086 90.00 90.00 90.00
Fractional coordinates of all 8 atoms:
Zn 0.000 0.000 0.000
Cr 0.000 0.000 0.500
Ni 0.000 0.500 0.258
Ni 0.000 0.500 0.742
Ni 0.500 0.000 0.258
Ni 0.500 0.000 0.742
Ni 0.500 0.500 0.000
Ni 0.500 0.500 0.500



15.
Entry from Alexandria: an optimized crystal structure of Zn2CrNi (GGA-PBE).

## Properties
**Calculated total energy**: -4.36 eV/atom
**N(E_F)**: 0.728 states/eV/atom
**DFT formation energy**: 0.52 eV/f.u.

Lattice parameters (Å, degrees): 5.116 8.372 2.486 90.00 108.10 90.00
Fractional coordinates of all 8 atoms:
Zn 0.250 0.250 0.000
Zn 0.250 0.750 0.000
Zn 0.750 0.250 0.000
Zn 0.750 0.750 0.000
Cr 0.000 0.000 0.500
Cr 0.500 0.500 0.500
Ni 0.000 0.500 0.500
Ni 0.500 0.000 0.500



16.
Entry from Alexandria: an optimized crystal structure of Zn2CrNi (GGA-PBE).

## Properties
**Calculated total energy**: -4.39 eV/atom
**N(E_F)**: 0.777 states/eV/atom
**DFT formation energy**: 0.38 eV/f.u.

Lattice parameters (Å, degrees): 2.564 3.645 5.412 90.00 90.20 90.00
Fractional coordinates of all 4 atoms:
Zn 0.000 0.000 0.000
Zn 0.499 0.500 0.264
Cr 0.001 0.000 0.524
Ni 0.502 0.500 0.741



17.
Entry from Alexandria: an optimized crystal structure of Zn2CrNi (GGA-PBE).

## Properties
**Calculated total energy**: -4.45 eV/atom
**N(E_F)**: 0.480 states/eV/atom
**DFT formation energy**: 0.15 eV/f.u.

Lattice parameters (Å, degrees): 3.042 3.047 5.780 90.00 90.09 90.00
Fractional coordinates of all 4 atoms:
Zn 0.000 0.000 0.230
Zn 0.000 0.000 0.770
Cr 0.500 0.500 0.500
Ni 0.500 0.500 0.000



18.
Entry from Alexandria: an optimized crystal structure of Zn2CrNi (GGA-PBE).

## Properties
**Calculated total energy**: -4.43 eV/atom
**N(E_F)**: 0.722 states/eV/atom
**DFT formation energy**: 0.25 eV/f.u.

Lattice parameters (Å, degrees): 3.853 3.853 7.144 90.00 90.00 90.00
Fractional coordinates of all 8 atoms:
Zn 0.000 0.000 0.000
Zn 0.000 0.500 0.250
Zn 0.500 0.000 0.750
Zn 0.500 0.500 0.500
Cr 0.000 0.500 0.750
Cr 0.500 0.000 0.250
Ni 0.000 0.000 0.500
Ni 0.500 0.500 0.000



19.
Entry from Alexandria: an optimized crystal structure of ZnCrNi3 (GGA-PBE).

## Properties
**Calculated total energy**: -4.67 eV/atom
**Offset from the most stable computed form**: 0.00 eV per formula unit
**N(E_F)**: 0.967 states/eV/atom
**DFT formation energy**: 4.90 eV/f.u.

Lattice parameters (Å, degrees): 4.296 4.296 4.296 90.00 90.00 90.00
Fractional coordinates of all 5 atoms:
Zn 0.000 0.000 0.000
Cr 0.500 0.500 0.500
Ni 0.000 0.000 0.500
Ni 0.000 0.500 0.000
Ni 0.500 0.000 0.000



20.
Entry from Alexandria: an optimized crystal structure of ZnCrNi (GGA-PBE).

## Properties
**Calculated total energy**: -4.91 eV/atom
**N(E_F)**: 1.646 states/eV/atom
**DFT formation energy**: 1.94 eV/f.u.

Lattice parameters (Å, degrees): 5.762 5.762 5.762 90.00 90.00 90.00
Fractional coordinates of all 12 atoms:
Zn 0.000 0.000 0.000
Zn 0.000 0.500 0.500
Zn 0.500 0.000 0.500
Zn 0.500 0.500 0.000
Cr 0.250 0.250 0.750
Cr 0.250 0.750 0.250
Cr 0.750 0.250 0.250
Cr 0.750 0.750 0.750
Ni 0.000 0.000 0.500
Ni 0.000 0.500 0.000
Ni 0.500 0.000 0.000
Ni 0.500 0.500 0.500



21.
Entry from Alexandria: an optimized crystal structure of Zn2CrNi6 (GGA-PBE).

## Properties
**Calculated total energy**: -5.27 eV/atom
**N(E_F)**: 1.282 states/eV/atom
**DFT formation energy**: -0.61 eV/f.u.

Lattice parameters (Å, degrees): 7.574 7.574 3.636 90.00 90.00 90.00
Fractional coordinates of all 18 atoms:
Zn 0.179 0.179 0.000
Zn 0.321 0.679 0.500
Zn 0.679 0.321 0.500
Zn 0.821 0.821 0.000
Cr 0.000 0.000 0.500
Cr 0.500 0.500 0.000
Ni 0.008 0.334 0.500
Ni 0.157 0.843 0.000
Ni 0.166 0.508 0.000
Ni 0.334 0.008 0.500
Ni 0.343 0.343 0.500
Ni 0.492 0.834 0.000
Ni 0.508 0.166 0.000
Ni 0.657 0.657 0.500
Ni 0.666 0.992 0.500
Ni 0.834 0.492 0.000
Ni 0.843 0.157 0.000
Ni 0.992 0.666 0.500



22.
Entry from Alexandria: an optimized crystal structure of Zn2Cr2Ni (GGA-PBE).

## Properties
**Calculated total energy**: -4.89 eV/atom
**Offset from the most stable computed form**: 0.80 eV per formula unit
**N(E_F)**: 1.212 states/eV/atom
**DFT formation energy**: 3.13 eV/f.u.

Lattice parameters (Å, degrees): 3.444 3.444 11.984 90.00 90.00 90.00
Fractional coordinates of all 10 atoms:
Zn 0.000 0.500 0.250
Zn 0.000 0.500 0.750
Zn 0.500 0.000 0.250
Zn 0.500 0.000 0.750
Cr 0.000 0.000 0.078
Cr 0.000 0.000 0.922
Cr 0.500 0.500 0.422
Cr 0.500 0.500 0.578
Ni 0.000 0.000 0.500
Ni 0.500 0.500 0.000



23.
Entry from Alexandria: an optimized crystal structure of ZrCr2Ni (GGA-PBE).

## Properties
**Calculated total energy**: -8.23 eV/atom
**Offset from the most stable computed form**: 0.49 eV per formula unit
**N(E_F)**: 1.230 states/eV/atom
**DFT formation energy**: 0.67 eV/f.u.

Lattice parameters (Å, degrees): 2.697 3.906 5.536 90.00 103.51 90.00
Fractional coordinates of all 4 atoms:
Zr 0.000 0.000 0.000
Cr 0.574 0.500 0.309
Cr 0.908 0.000 0.482
Ni 0.400 0.500 0.723



24.
Entry from Alexandria: an optimized crystal structure of ZrCr2Ni (GGA-PBE).

## Properties
**Calculated total energy**: -8.35 eV/atom
**Offset from the most stable computed form**: 0.00 eV per formula unit
**N(E_F)**: 0.796 states/eV/atom
**DFT formation energy**: 0.18 eV/f.u.

Lattice parameters (Å, degrees): 3.024 3.024 6.314 90.00 90.00 90.00
Fractional coordinates of all 4 atoms:
Zr 0.000 0.000 0.000
Cr 0.000 0.000 0.490
Cr 0.500 0.500 0.293
Ni 0.500 0.500 0.720



25.
Entry from Alexandria: an optimized crystal structure of ZrCr2Ni (GGA-PBE).

## Properties
**Calculated total energy**: -8.16 eV/atom
**Offset from the most stable computed form**: 0.75 eV per formula unit
**N(E_F)**: 1.232 states/eV/atom
**DFT formation energy**: 0.93 eV/f.u.

Lattice parameters (Å, degrees): 3.162 4.414 8.044 90.00 90.00 90.00
Fractional coordinates of all 8 atoms:
Zr 0.000 0.000 0.000
Zr 0.500 0.500 0.000
Cr 0.000 0.000 0.499
Cr 0.000 0.500 0.288
Cr 0.500 0.000 0.288
Cr 0.500 0.500 0.499
Ni 0.000 0.500 0.722
Ni 0.500 0.000 0.722